# 1
Below is an optimized crystal structure of ThNbAl, with properties calculated at the PBE level.

Unit cell a=4.749 b=4.749 c=4.749 alpha=60.00 beta=60.00 gamma=60.00
Positions (direct):
Th: 0.750 0.750 0.750
Nb: 0.250 0.250 0.250
Al: 0.000 0.000 0.000

Properties
**Symmetry**: F-43m (216)
**Calculated total energy**: -20.1 eV/f.u.
**Total magnetic moment**: 0.1 μB per formula unit

---

# 2
Below is an optimized crystal structure of TmSn, with properties calculated at the PBE level.

Unit cell a=4.881 b=4.881 c=4.881 alpha=60.00 beta=60.00 gamma=60.00
Positions (direct):
Tm: 0.250 0.250 0.250
Sn: 0.000 0.000 0.000

Properties
**Symmetry**: F-43m (216)
**Calculated total energy**: -7.8 eV/f.u.
**Total magnetic moment**: 1.0 μB per formula unit

---

# 3
Below is an optimized crystal structure of DyCu, with properties calculated at the PBE level.

Unit cell a=3.433 b=3.433 c=4.214 alpha=90.00 beta=90.00 gamma=120.00
Positions (direct):
Cu: 0.667 0.333 0.750
Dy: 0.333 0.667 0.250

Properties
**E_form**: 0.04 eV per atom
**Symmetry**: P-6m2 (187)
**Calculated total energy**: -8.2 eV/f.u.
**Total magnetic moment**: 0.0 μB per formula unit

---

Question: Among the records above, which one has the highest total magnetic moment?
Answer: TmSn